The following is a PBE calculation of a relaxed structure of USnOsRh, from Alexandria.

Results
volume	300.26	Å³/cell
DFT formation energy	-0.164	eV per atom
M_tot	0.392	μB/atom

a = 6.696 Å, b = 6.696 Å, c = 6.696 Å
α = 90.00°, β = 90.00°, γ = 90.00°
Space group F-43m (No. 216)
Symmetry-distinct sites (fractional):
U  0.000  0.000  0.000
Sn  0.000  0.000  0.500
Os  0.250  0.250  0.750
Rh  0.250  0.250  0.250


The following is a PBE calculation of a relaxed structure of CaFe2Ir, from Alexandria.

Results
volume	64.46	Å³/cell
DFT formation energy	0.365	eV per atom
M_tot	1.534	μB/atom

a = 3.959 Å, b = 3.959 Å, c = 4.112 Å
α = 90.00°, β = 90.00°, γ = 90.00°
Space group P4/mmm (No. 123)
Symmetry-distinct sites (fractional):
Ca  0.000  0.000  0.000
Fe  0.000  0.500  0.500
Ir  0.500  0.500  0.000


Values for total energy, eV per atom, ordered as above
-8.632; -6.582